Record 1
# PBE-GGA Ba2Na2Cl, optimized geometry
# Polymorph energy (0 for the lowest one) in meV/atom: 0
# Formation energy without anion corrections in eV/f.u.: -3.01
# DFT total energy in eV per atom: -2.268
# DOS at the Fermi energy in states/eV per atom: 0.72
data_Ba2Na2Cl
_chemical_formula_sum 'Ba4 Na4 Cl2'
_cell_length_a 8.641
_cell_length_b 8.641
_cell_length_c 6.618
_cell_angle_alpha 90.00
_cell_angle_beta 90.00
_cell_angle_gamma 90.00
_space_group_name_H-M_alt 'P 4/m b m'
_space_group_IT_number 127
_space_group_name_Hall '-P 4 2ab'
loop_
_atom_site_label
_atom_site_type_symbol
_atom_site_fract_x
_atom_site_fract_y
_atom_site_fract_z
_atom_site_occupancy
Ba1 Ba 0.177 0.323 0.000 1
Na1 Na 0.137 0.637 0.500 1
Cl1 Cl 0.000 0.000 0.000 1

=====

Record 2
# PBE-GGA Ba2NaCl, optimized geometry
# Polymorph energy (0 for the lowest one) in meV/atom: 256
# Formation energy without anion corrections in eV/f.u.: -2.22
# DFT total energy in eV per atom: -2.307
# DOS at the Fermi energy in states/eV per atom: 0.84
data_Ba2NaCl
_chemical_formula_sum 'Ba8 Na4 Cl4'
_cell_length_a 8.874
_cell_length_b 8.874
_cell_length_c 8.874
_cell_angle_alpha 90.00
_cell_angle_beta 90.00
_cell_angle_gamma 90.00
_space_group_name_H-M_alt 'F m -3 m'
_space_group_IT_number 225
_space_group_name_Hall '-F 4 2 3'
loop_
_atom_site_label
_atom_site_type_symbol
_atom_site_fract_x
_atom_site_fract_y
_atom_site_fract_z
_atom_site_occupancy
Ba1 Ba 0.250 0.250 0.250 1
Na1 Na 0.000 0.000 0.000 1
Cl1 Cl 0.000 0.000 0.500 1

=====

Record 3
# PBE-GGA BaNa2Cl4, optimized geometry
# Formation energy without anion corrections in eV/f.u.: -14.62
# DFT total energy in eV per atom: -3.795
# DOS at the Fermi energy in states/eV per atom: 0.00
data_BaNa2Cl4
_chemical_formula_sum 'Ba4 Na8 Cl16'
_cell_length_a 4.248
_cell_length_b 13.317
_cell_length_c 13.640
_cell_angle_alpha 90.00
_cell_angle_beta 90.00
_cell_angle_gamma 90.00
_space_group_name_H-M_alt 'C m c m'
_space_group_IT_number 63
_space_group_name_Hall '-C 2c 2'
loop_
_atom_site_label
_atom_site_type_symbol
_atom_site_fract_x
_atom_site_fract_y
_atom_site_fract_z
_atom_site_occupancy
Ba1 Ba 0.000 0.114 0.250 1
Na1 Na 0.000 0.372 0.061 1
Cl1 Cl 0.000 0.000 0.000 1
Cl2 Cl 0.000 0.276 0.617 1
Cl3 Cl 0.000 0.447 0.250 1

=====

Record 4
# PBE-GGA Ba2NaCl, optimized geometry
# Polymorph energy (0 for the lowest one) in meV/atom: 1
# Formation energy without anion corrections in eV/f.u.: -3.23
# DFT total energy in eV per atom: -2.561
# DOS at the Fermi energy in states/eV per atom: 1.00
data_Ba2NaCl
_chemical_formula_sum 'Ba6 Na3 Cl3'
_cell_length_a 4.3811
_cell_length_b 4.3811
_cell_length_c 32.2682
_cell_angle_alpha 90.00
_cell_angle_beta 90.00
_cell_angle_gamma 120.00
_space_group_name_H-M_alt 'R 3 m'
_space_group_IT_number 160
_space_group_name_Hall 'R 3 -2"'
loop_
_atom_site_label
_atom_site_type_symbol
_atom_site_fract_x
_atom_site_fract_y
_atom_site_fract_z
_atom_site_occupancy
Ba1 Ba 0.0000 0.0000 0.0000 1
Ba2 Ba 0.0000 0.0000 0.1983 1
Na1 Na 0.0000 0.0000 0.7661 1
Cl1 Cl 0.0000 0.0000 0.5978 1